1.
VASP calculation (PBE-GGA) on Ce3AlB2C6 after structural relaxation.

Structure (CIF):
```
data_Ce3AlB2C6
_chemical_formula_sum 'Ce3 Al1 B2 C6'
_symmetry_space_group_name_H-M 'P 1'
_symmetry_Int_Tables_number 1
_symmetry_space_group_name_Hall 'P 1'
_cell_length_a 5.482
_cell_length_b 5.482
_cell_length_c 6.030
_cell_angle_alpha 90.00
_cell_angle_beta 90.00
_cell_angle_gamma 120.00
loop_
_atom_site_label
_atom_site_type_symbol
_atom_site_fract_x
_atom_site_fract_y
_atom_site_fract_z
Ce1 Ce 0.333 0.667 0.663
Ce2 Ce 0.667 0.333 0.337
Ce3 Ce 0.000 0.000 0.000
Al1 Al 0.000 0.000 0.500
B1 B 0.667 0.333 0.763
B2 B 0.333 0.667 0.237
C1 C 0.648 0.824 0.296
C2 C 0.176 0.352 0.296
C3 C 0.176 0.824 0.296
C4 C 0.824 0.648 0.704
C5 C 0.352 0.176 0.704
C6 C 0.824 0.176 0.704
```

E_form = 1.9 eV per formula unit


2.
VASP calculation (PBE-GGA) on AlB2CF after structural relaxation.

Structure (CIF):
```
data_AlB2CF
_chemical_formula_sum 'Al1 B2 C1 F1'
_symmetry_space_group_name_H-M 'P 1'
_symmetry_Int_Tables_number 1
_symmetry_space_group_name_Hall 'P 1'
_cell_length_a 3.043
_cell_length_b 5.832
_cell_length_c 3.043
_cell_angle_alpha 90.00
_cell_angle_beta 90.00
_cell_angle_gamma 90.00
loop_
_atom_site_label
_atom_site_type_symbol
_atom_site_fract_x
_atom_site_fract_y
_atom_site_fract_z
C1 C 0.000 0.000 0.000
B1 B 0.000 0.000 0.500
B2 B 0.500 0.000 0.000
Al1 Al 0.500 0.500 0.500
F1 F 0.000 0.500 0.000
```

E = -26.052 eV per cell


Question: Number 2 is which compound?
Answer: AlB2CF